The following is a PBE calculation of CaAuN3 after structural relaxation, from the Alexandria database.

## Properties
ρ ... 6.59 g/cm3
Total energy ... -23.38 eV/cell
Space-group type ... No. 221

a b c (Å): 4.1279 4.1279 4.1279
angles (deg): 90.00 90.00 90.00
With the nearest neighbours (Å) after each atom.
Sites, in units of the cell vectors:
Ca (0.0000, 0.0000, 0.0000)  12 N 2.92
Au (0.5000, 0.5000, 0.5000)  6 N 2.06
N (0.0000, 0.5000, 0.5000)  2 Au 2.06
N (0.5000, 0.0000, 0.5000)  2 Au 2.06
N (0.5000, 0.5000, 0.0000)  2 Au 2.06